Entry 1:
# ScRh2Cl GGA-PBEsol optimized geometry
data_ScRh2Cl
_cell_length_a 3.064
_cell_length_b 4.362
_cell_length_c 8.947
_cell_angle_alpha 90.00
_cell_angle_beta 90.00
_cell_angle_gamma 90.00
_space_group_name_H-M_alt 'I m m 2'
_space_group_IT_number 44
loop_
_space_group_symop_operation_xyz
'x,y,z'
'-x,-y,z'
'-x,y,z'
'x,-y,z'
'x+1/2,y+1/2,z+1/2'
'-x+1/2,-y+1/2,z+1/2'
'-x+1/2,y+1/2,z+1/2'
'x+1/2,-y+1/2,z+1/2'
loop_
_atom_site_label
_atom_site_type_symbol
_atom_site_fract_x
_atom_site_fract_y
_atom_site_fract_z
Sc1 Sc 0.000 0.000 0.000
Rh1 Rh 0.000 0.000 0.462
Rh2 Rh 0.000 0.500 0.224
Cl1 Cl 0.000 0.500 0.737
# ΔE_f (raw) = -0.26 eV/atom
# Crystal system = orthorhombic
# Total magnetic moment = 0.00 μB/f.u.
# V = 119.6 Å³/cell

Entry 2:
# Ca2ZrTc GGA-PBEsol optimized geometry
data_Ca2ZrTc
_cell_length_a 3.416
_cell_length_b 3.416
_cell_length_c 8.848
_cell_angle_alpha 90.00
_cell_angle_beta 90.00
_cell_angle_gamma 90.00
_space_group_name_H-M_alt 'P 4 m m'
_space_group_IT_number 99
loop_
_space_group_symop_operation_xyz
'x,y,z'
'-y,x,z'
'-x,-y,z'
'y,-x,z'
'-x,y,z'
'y,x,z'
'x,-y,z'
'-y,-x,z'
loop_
_atom_site_label
_atom_site_type_symbol
_atom_site_fract_x
_atom_site_fract_y
_atom_site_fract_z
Ca1 Ca 0.000 0.000 0.000
Ca2 Ca 0.500 0.500 0.358
Zr1 Zr 0.500 0.500 0.715
Tc1 Tc 0.000 0.000 0.582
# Crystal system = tetragonal
# Total magnetic moment = 0.00 μB/f.u.
# V = 103.3 Å³/cell
# Distance to the lowest polymorph of the same formula = 0 meV/atom

Entry 3:
# LaCdAg4 GGA-PBEsol optimized geometry
data_LaCdAg4
_cell_length_a 7.840
_cell_length_b 7.840
_cell_length_c 7.840
_cell_angle_alpha 90.00
_cell_angle_beta 90.00
_cell_angle_gamma 90.00
_space_group_name_H-M_alt 'F -4 3 m'
_space_group_IT_number 216
_space_group_name_Hall 'F -4 2 3'
loop_
_atom_site_label
_atom_site_type_symbol
_atom_site_fract_x
_atom_site_fract_y
_atom_site_fract_z
La1 La 0.000 0.000 0.000
Cd1 Cd 0.250 0.250 0.750
Ag1 Ag 0.124 0.124 0.376
# Crystal system = cubic
# Total magnetic moment = 0.00 μB/f.u.
# V = 481.9 Å³/cell
# Energy = -3.540 eV per atom

Entry 4:
# Ba3TiAl10O20 GGA-PBEsol optimized geometry
data_Ba3TiAl10O20
_cell_length_a 15.592
_cell_length_b 11.407
_cell_length_c 4.986
_cell_angle_alpha 90.00
_cell_angle_beta 107.81
_cell_angle_gamma 90.00
_space_group_name_H-M_alt 'C 1 2/m 1'
_space_group_IT_number 12
loop_
_space_group_symop_operation_xyz
'x,y,z'
'-x,-y,-z'
'-x,y,-z'
'x,-y,z'
'x+1/2,y+1/2,z'
'-x+1/2,-y+1/2,-z'
'-x+1/2,y+1/2,-z'
'x+1/2,-y+1/2,z'
loop_
_atom_site_label
_atom_site_type_symbol
_atom_site_fract_x
_atom_site_fract_y
_atom_site_fract_z
Ba1 Ba 0.000 0.000 0.000
Ba2 Ba 0.222 0.500 0.750
Ti1 Ti 0.000 0.500 0.000
Al1 Al 0.000 0.364 0.500
Al2 Al 0.137 0.286 0.165
Al3 Al 0.146 0.139 0.658
O1 O 0.063 0.500 0.393
O2 O 0.072 0.377 0.888
O3 O 0.084 0.255 0.433
O4 O 0.104 0.000 0.533
O5 O 0.139 0.150 0.004
O6 O 0.240 0.357 0.316
# ΔE_f (raw) = -3.06 eV/atom
# Crystal system = monoclinic
# Total magnetic moment = 0.00 μB/f.u.
# V = 844.3 Å³/cell

Entry 5:
# SbPb2Au GGA-PBEsol optimized geometry
data_SbPb2Au
_cell_length_a 3.825
_cell_length_b 4.329
_cell_length_c 12.943
_cell_angle_alpha 90.00
_cell_angle_beta 90.00
_cell_angle_gamma 90.00
_space_group_name_H-M_alt 'I m m m'
_space_group_IT_number 71
_space_group_name_Hall '-I 2 2'
loop_
_atom_site_label
_atom_site_type_symbol
_atom_site_fract_x
_atom_site_fract_y
_atom_site_fract_z
Sb1 Sb 0.000 0.000 0.000
Pb1 Pb 0.000 0.500 0.184
Au1 Au 0.000 0.000 0.500
# ΔE_f (raw) = 0.03 eV/atom
# Crystal system = orthorhombic
# Total magnetic moment = 0.00 μB/f.u.
# V = 214.3 Å³/cell

Entry 6:
# CuTeO4 GGA-PBEsol optimized geometry
data_CuTeO4
_cell_length_a 6.249
_cell_length_b 7.500
_cell_length_c 3.017
_cell_angle_alpha 90.00
_cell_angle_beta 90.00
_cell_angle_gamma 90.00
_space_group_name_H-M_alt 'C m m m'
_space_group_IT_number 65
_space_group_name_Hall '-C 2 2'
loop_
_atom_site_label
_atom_site_type_symbol
_atom_site_fract_x
_atom_site_fract_y
_atom_site_fract_z
Cu1 Cu 0.000 0.000 0.000
Te1 Te 0.000 0.500 0.500
O1 O 0.000 0.326 0.000
O2 O 0.190 0.000 0.500
# ΔE_f (raw) = -0.79 eV/atom
# Crystal system = orthorhombic
# Total magnetic moment = 0.00 μB/f.u.
# V = 141.4 Å³/cell

Question: Among the records above, which one has the highest V?
Answer: Ba3TiAl10O20